## TbZn (PBE)

Data for a geometry-optimized TbZn structure.

Calculated values
Formation energy from the elements in eV per atom: -0.205
Electronic total energy in eV/atom: -3.1517

abc: 4.4312 10.9383 5.8282
angles: 90.00 90.00 90.00
Closest atoms and distances in Å follow each position.
Positions (direct):
Tb: 0.0000 0.0911 0.0000  3 Zn 2.97-3.13
Tb: 0.0000 0.3979 0.7730  9 Zn 2.93-3.17
Tb: 0.0000 0.6021 0.2730  9 Zn 2.93-3.17
Tb: 0.0000 0.9089 0.5000  3 Zn 2.97-3.13
Tb: 0.5000 0.1599 0.5165  5 Zn 3.07-3.35
Tb: 0.5000 0.8401 0.0165  5 Zn 3.07-3.35
Zn: 0.0000 0.3138 0.2926  4 Zn 2.68-2.69, 2 Tb 2.95-2.97
Zn: 0.0000 0.6862 0.7926  4 Zn 2.68-2.69, 2 Tb 2.95-2.97
Zn: 0.5000 0.2920 0.0344  3 Zn 2.69-2.71, 2 Tb 2.93
Zn: 0.5000 0.4370 0.4114  3 Zn 2.68-2.71, 2 Tb 2.97
Zn: 0.5000 0.5630 0.9114  3 Zn 2.68-2.71, 2 Tb 2.97
Zn: 0.5000 0.7080 0.5344  3 Zn 2.69-2.71, 2 Tb 2.93